1.
TaHg2As: optimized geometry, PBE-GGA.

Volume in Å³ per atom: 22.99
Fermi-level density of states in states/eV per cell: 1.43
Space-group type: P4mm (99)
Total DFT energy (no corrections) in eV/atom: -4.105
Energy of formation from the pure elements in meV/atom: 171

Lattice parameters (Å, degrees): 2.940 2.940 10.638 90.00 90.00 90.00
Sites, in units of the cell vectors:
As: 0.500 0.500 0.688
Hg: 0.000 0.000 0.012
Hg: 0.500 0.500 0.296
Ta: 0.000 0.000 0.505

2.
V2Ir3Ru: optimized geometry, PBE-GGA.

Volume in Å³ per atom: 14.77
Fermi-level density of states in states/eV per cell: 11.68
Space-group type: Fmmm (69)
Total DFT energy (no corrections) in eV/atom: -9.177
Energy of formation from the pure elements in meV/atom: -161

Lattice parameters (Å, degrees): 4.026 4.026 11.294 100.02 100.02 91.37
Sites, in units of the cell vectors:
V: 0.750 0.250 0.500
V: 0.250 0.750 0.000
V: 0.250 0.750 0.500
V: 0.750 0.250 0.000
Ir: 0.323 0.323 0.149
Ir: 0.174 0.174 0.851
Ir: 0.677 0.677 0.851
Ir: 0.826 0.826 0.149
Ir: 0.178 0.178 0.356
Ir: 0.822 0.822 0.644
Ru: 0.679 0.679 0.358
Ru: 0.321 0.321 0.642

3.
CeSbRh: optimized geometry, PBE-GGA.

Volume in Å³ per atom: 23.81
Fermi-level density of states in states/eV per cell: 3.56
Space-group type: I4mm (107)
Total DFT energy (no corrections) in eV/atom: -6.333

Lattice parameters (Å, degrees): 3.881 3.881 5.479 110.74 110.74 90.00
Site moments in Bohr magnetons follow the coordinates.
Sites, in units of the cell vectors:
Sb: 0.940 0.940 0.880  0.00
Rh: 0.651 0.651 0.303  -0.02
Ce: 0.259 0.259 0.518  0.25